[1]
SrFe2F8 (PBE+U, relaxed); DFT total energy = -5.062 eV per atom
1.0
-5.3458 -0.2253 -1.7827
-0.6642 -2.5495 4.7422
-0.6616 3.6594 3.9497
Sr Fe F
1 2 8
Cartesian
0.0000 0.0000 0.0000
-3.3003 0.6575 5.1404
-3.3713 0.2272 1.7688
-2.7705 2.4801 4.6178
-3.8995 2.1231 1.8168
-1.9823 0.8205 6.4218
-4.6893 0.0642 0.4874
-2.7720 -1.2384 5.0924
-3.9011 -1.5955 2.2914
-4.5793 0.4898 3.8227
-2.0923 0.3948 3.0865


[2]
Sr3Fe5F12 (PBE+U, relaxed); D(E_F) = 0.0339 states/eV per atom; DFT total energy = -5.219 eV per atom
1.0
-6.1419 9.8890 1.5859
-3.9233 -8.2704 7.3647
11.3678 2.0663 2.1289
Sr Fe F
12 20 48
Cartesian
-4.6567 4.5736 4.2173
-6.8956 2.7084 7.1772
1.8592 -1.2030 7.4488
2.2371 2.2133 2.1154
-3.0226 8.1356 2.8404
-1.9133 -0.9440 5.7298
3.2160 4.6290 5.3496
4.3253 -4.4507 8.2390
-0.9344 1.4716 8.9640
-0.5566 4.8879 3.6307
8.1983 0.9766 3.9022
5.9593 -0.8887 6.8622
0.6030 -1.3487 3.4922
-1.9616 -4.1352 3.6823
0.0000 0.0000 0.0000
-1.8630 1.8991 2.7020
2.6130 5.9776 1.8574
-5.0326 0.8093 4.4753
0.5527 -4.1918 6.5201
4.8500 8.1910 3.9728
-2.7955 3.0226 6.5906
5.7322 4.2243 3.1120
-4.4296 -0.5394 7.9675
0.6513 1.8425 5.5397
-3.0709 4.9445 0.7929
5.6839 1.0332 1.0644
4.0982 0.6623 4.4888
-3.5474 -4.5060 7.1067
3.7223 -3.1020 4.7468
0.7499 7.8767 4.5594
3.1657 1.7859 8.3774
0.6997 5.0336 7.5872
-4.3562 6.0385 2.1174
0.5603 -0.2966 5.4017
-4.0212 6.9827 4.9186
-2.7209 3.9027 2.6355
1.2161 1.2919 7.5349
-6.3047 5.0047 6.1660
-0.4214 -2.3916 7.2719
-2.7049 -6.5167 7.1570
0.2139 -0.7939 9.4045
-4.7424 2.5065 5.7552
-2.4039 4.8348 5.4428
-8.2634 0.7590 8.1644
2.6186 -3.4944 6.5443
-3.0161 0.4410 3.8418
0.1765 -5.9969 7.6840
3.5738 4.3161 2.8159
1.1880 -0.1292 1.7818
-4.4853 -0.7858 5.8016
-5.3851 1.2734 8.7129
-1.4570 -2.0626 3.4526
2.9562 -2.5714 9.3522
-1.2747 1.4706 6.4087
-2.7611 3.2785 8.7559
4.2436 6.9810 5.6825
2.5773 2.2143 4.6707
4.0638 0.4064 2.3236
-2.9410 -3.2961 5.3969
6.6878 2.4115 2.3665
-1.6535 6.2564 1.7272
2.7597 5.7475 7.6268
5.7879 4.4707 5.2778
-2.2712 -0.6311 8.2635
0.1146 3.8142 9.2976
1.1262 9.6819 3.3955
-1.3160 7.1793 4.5352
9.5661 2.9259 2.9150
4.3188 3.2440 7.2376
1.0887 4.4789 1.6749
6.0451 1.1784 5.3243
3.7065 -1.1499 5.6366
4.0076 10.2016 3.9224
1.7241 6.0765 3.8075
4.0236 -0.2178 8.4439
7.6073 -1.3198 4.9134
0.0866 2.3930 3.5445
5.3239 -3.2978 6.1608
0.7424 3.9815 5.6777
5.6588 -2.3535 8.9620


[3]
SrFe2F (PBE+U, relaxed); D(E_F) = 0.5316 states/eV per atom; relative energy among the computed polymorphs = 0 meV/atom
1.0
-0.9829 -3.7162 -5.5265
6.6417 -0.9586 -0.5366
2.4721 -6.3642 -0.2603
Sr Fe F
2 4 2
Cartesian
0.0000 0.0000 0.0000
2.1593 -6.2089 -4.4092
1.0797 -3.1045 -2.2046
4.4005 -3.5837 -2.4729
5.6365 -6.7659 -2.6030
5.1452 -8.6240 -5.3663
2.8294 -2.3374 -3.0316
5.9716 -4.8301 -1.9142


[4]
SrFeF2 (PBE+U, relaxed); D(E_F) = 0.3282 states/eV per atom; relative energy among the computed polymorphs = 0 meV/atom
1.0
5.9229 -0.2409 3.3562
6.2911 -2.6020 0.2337
6.6866 1.2876 -0.1852
Sr Fe F
1 1 2
Cartesian
9.4503 -0.7777 1.7024
0.0000 0.0000 0.0000
16.6558 -1.3706 3.0004
2.2447 -0.1847 0.4044